This record from Alexandria describes a geometry-optimized Co2HgO4 structure. The functional is PBEsol.

Calculated values
DFT total energy	-0.44882	Ry/atom
crystal system	cubic
energy relative to the lowest polymorph listed for this composition	0.038	eV/atom
formation energy (no corrections)	-0.82	eV/atom

Unit cell a=5.934 b=5.934 c=5.934 alpha=60.00 beta=60.00 gamma=60.00
Positions (direct):
Co 0.000 0.000 0.000
Co 0.000 0.000 0.500
Co 0.000 0.500 0.000
Co 0.500 0.000 0.000
Hg 0.375 0.375 0.375
Hg 0.625 0.625 0.625
O 0.178 0.774 0.774
O 0.226 0.226 0.226
O 0.226 0.226 0.822
O 0.226 0.822 0.226
O 0.774 0.178 0.774
O 0.774 0.774 0.178
O 0.774 0.774 0.774
O 0.822 0.226 0.226